No. 1
## ThTlTe3Pd (PBE)

Data for ThTlTe3Pd after structural relaxation.

Results
Its raw formation energy is -0.773 eV per atom. As for the calculated total energy: -4.84 eV/atom. The space-group type is P2_1/m (11).

abc: 9.740 4.400 10.235
angles: 90.00 110.00 90.00
Positions (direct):
Th: 0.196 0.250 0.170
Th: 0.804 0.750 0.830
Tl: 0.296 0.750 0.772
Tl: 0.704 0.250 0.228
Te: 0.044 0.250 0.837
Te: 0.299 0.250 0.494
Te: 0.403 0.750 0.132
Te: 0.597 0.250 0.868
Te: 0.701 0.750 0.506
Te: 0.956 0.750 0.163
Pd: 0.406 0.750 0.409
Pd: 0.594 0.250 0.591

No. 2
## Ti2TePd (PBE)

Data for Ti2TePd after structural relaxation.

Results
Its raw formation energy is -0.207 eV per atom. As for the calculated total energy: -6.24 eV/atom. The space-group type is I-42d (122).

abc: 5.903 5.903 5.903
angles: 103.51 103.51 122.19
Positions (direct):
Ti: 0.107 0.125 0.482
Ti: 0.375 0.893 0.018
Ti: 0.643 0.625 0.518
Ti: 0.875 0.357 0.982
Te: 0.250 0.750 0.500
Te: 0.500 0.500 0.000
Pd: 0.000 0.000 0.000
Pd: 0.750 0.250 0.500

No. 3
## TiTePd6 (PBE)

Data for TiTePd6 after structural relaxation.

Results
Its raw formation energy is -0.306 eV per atom. As for the calculated total energy: -5.58 eV/atom. The space-group type is P-1 (2).

abc: 5.130 5.137 5.142
angles: 93.54 93.50 93.40
Positions (direct):
Ti: 0.000 0.000 0.000
Te: 0.500 0.500 0.500
Pd: 0.054 0.755 0.441
Pd: 0.245 0.559 0.945
Pd: 0.442 0.054 0.755
Pd: 0.558 0.946 0.245
Pd: 0.755 0.441 0.055
Pd: 0.946 0.245 0.559

No. 4
## Ti3Te6Pd (PBE)

Data for Ti3Te6Pd after structural relaxation.

Results
Its raw formation energy is -0.450 eV per atom. As for the calculated total energy: -5.22 eV/atom. The space-group type is R-3 (148).

abc: 8.067 8.067 8.067
angles: 87.72 87.72 87.72
Positions (direct):
Ti: 0.068 0.586 0.212
Ti: 0.212 0.068 0.586
Ti: 0.414 0.788 0.932
Ti: 0.586 0.212 0.068
Ti: 0.788 0.932 0.414
Ti: 0.932 0.414 0.788
Te: 0.098 0.686 0.872
Te: 0.128 0.902 0.314
Te: 0.177 0.406 0.524
Te: 0.314 0.128 0.902
Te: 0.406 0.524 0.177
Te: 0.476 0.823 0.594
Te: 0.524 0.177 0.406
Te: 0.594 0.476 0.823
Te: 0.686 0.872 0.098
Te: 0.823 0.594 0.476
Te: 0.872 0.098 0.686
Te: 0.902 0.314 0.128
Pd: 0.000 0.000 0.000
Pd: 0.500 0.500 0.500

No. 5
## Ti2TePd2 (PBE)

Data for Ti2TePd2 after structural relaxation.

Results
Its raw formation energy is -0.345 eV per atom. As for the calculated total energy: -6.21 eV/atom. The space-group type is P4/mbm (127).

abc: 7.197 7.197 3.563
angles: 90.00 90.00 90.00
Positions (direct):
Ti: 0.152 0.348 0.000
Ti: 0.348 0.848 0.000
Ti: 0.652 0.152 0.000
Ti: 0.848 0.652 0.000
Te: 0.000 0.000 0.000
Te: 0.500 0.500 0.000
Pd: 0.134 0.634 0.500
Pd: 0.366 0.134 0.500
Pd: 0.634 0.866 0.500
Pd: 0.866 0.366 0.500

No. 6
## Ti3Te4Pd (PBE)

Data for Ti3Te4Pd after structural relaxation.

Results
Its raw formation energy is -0.517 eV per atom. As for the calculated total energy: -5.70 eV/atom. The space-group type is Pmn2_1 (31).

abc: 8.280 8.953 5.788
angles: 90.00 90.00 90.00
Positions (direct):
Ti: 0.000 0.015 0.000
Ti: 0.202 0.813 0.706
Ti: 0.298 0.187 0.206
Ti: 0.500 0.985 0.500
Ti: 0.702 0.187 0.206
Ti: 0.798 0.813 0.706
Te: 0.000 0.304 0.202
Te: 0.000 0.575 0.717
Te: 0.227 0.129 0.684
Te: 0.273 0.871 0.184
Te: 0.500 0.425 0.217
Te: 0.500 0.696 0.702
Te: 0.727 0.871 0.184
Te: 0.773 0.129 0.684
Pd: 0.000 0.771 0.352
Pd: 0.500 0.229 0.852

No. 7
## TiTePd (PBE)

Data for TiTePd after structural relaxation.

Results
Its raw formation energy is -0.334 eV per atom. As for the calculated total energy: -5.74 eV/atom. The space-group type is Pm (6).

abc: 4.462 5.428 5.351
angles: 90.00 114.14 90.00
Positions (direct):
Ti: 0.000 0.000 0.000
Ti: 0.192 0.500 0.401
Te: 0.281 0.000 0.587
Te: 0.854 0.500 0.832
Pd: 0.642 0.246 0.296
Pd: 0.642 0.754 0.296

No. 8
## Ti2Te2Pd (PBE)

Data for Ti2Te2Pd after structural relaxation.

Results
Its raw formation energy is -0.408 eV per atom. As for the calculated total energy: -5.86 eV/atom. The space-group type is P4/mbm (127).

abc: 7.361 7.361 3.689
angles: 90.00 90.00 90.00
Positions (direct):
Ti: 0.137 0.363 0.000
Ti: 0.363 0.863 0.000
Ti: 0.637 0.137 0.000
Ti: 0.863 0.637 0.000
Te: 0.159 0.659 0.500
Te: 0.341 0.159 0.500
Te: 0.659 0.841 0.500
Te: 0.841 0.341 0.500
Pd: 0.000 0.000 0.000
Pd: 0.500 0.500 0.000